SrAlBr | PBEsol | optimized geometry

Output
Crystal system: tetragonal
Formation energy from raw total energies in eV per atom: -0.51

Cell lengths 3.817, 3.817, 12.818 Å; angles 90.00, 90.00, 90.00 degrees
Space group I4mm (No. 107)
Unique sites:
1 Sr 0.000 0.000 0.000 [2 per cell]
2 Al 0.000 0.000 0.345 [2 per cell]
3 Br 0.000 0.000 0.625 [2 per cell]